Entry 1:
Material: BaSi2B2O8
Method: DFT, GGA-PBEsol
State: optimized geometry

## Properties
Crystal system ... orthorhombic
SG ... Pnma

a = 8.2047 Å, b = 8.2094 Å, c = 9.0808 Å
α = 90.00°, β = 90.00°, γ = 90.00°
With the nearest neighbours (Å) after each atom.
Fractional coordinates of all 52 atoms:
Si: 0.0656 0.4276 0.3105  4 O 1.62-1.64
O: 0.9557 0.2179 0.9308  1 B 1.48, 1 Si 1.63
Si: 0.0656 0.9276 0.1895  4 O 1.62-1.64
B: 0.4140 0.7712 0.9112  4 O 1.46-1.50
O: 0.5443 0.7179 0.5692  1 B 1.48, 1 Si 1.63
B: 0.4140 0.2712 0.5888  4 O 1.46-1.50
B: 0.9140 0.2288 0.0888  4 O 1.46-1.50
B: 0.0860 0.2712 0.5888  4 O 1.46-1.50
O: 0.4557 0.2821 0.4308  1 B 1.48, 1 Si 1.63
B: 0.5860 0.2288 0.0888  4 O 1.46-1.50
O: 0.0443 0.2821 0.4308  1 B 1.48, 1 Si 1.63
O: 0.9697 0.6455 0.8539  1 B 1.50, 1 Si 1.63
O: 0.2500 0.0034 0.1877  2 Si 1.64
Ba: 0.7500 0.6119 0.0831  7 O 2.66-2.79
O: 0.7500 0.7905 0.3821  2 B 1.46
O: 0.0303 0.8545 0.3539  1 B 1.50, 1 Si 1.63
Ba: 0.2500 0.3881 0.9169  7 O 2.66-2.79
O: 0.4342 0.4277 0.6638  1 B 1.46, 1 Si 1.62
O: 0.9342 0.0723 0.1638  1 B 1.46, 1 Si 1.62
O: 0.5658 0.5723 0.3362  1 B 1.46, 1 Si 1.62
Si: 0.5656 0.5724 0.6895  4 O 1.62-1.64
O: 0.9557 0.7179 0.5692  1 B 1.48, 1 Si 1.63
O: 0.4342 0.9277 0.8362  1 B 1.46, 1 Si 1.62
B: 0.0860 0.7712 0.9112  4 O 1.46-1.50
O: 0.2500 0.7095 0.8821  2 B 1.46
O: 0.2500 0.2095 0.6179  2 B 1.46
Ba: 0.2500 0.8881 0.5831  7 O 2.66-2.79
Si: 0.9344 0.5724 0.6895  4 O 1.62-1.64
O: 0.5658 0.0723 0.1638  1 B 1.46, 1 Si 1.62
Ba: 0.7500 0.1119 0.4169  7 O 2.66-2.79
O: 0.2500 0.5034 0.3123  2 Si 1.64
Si: 0.4344 0.9276 0.1895  4 O 1.62-1.64
O: 0.5303 0.6455 0.8539  1 B 1.50, 1 Si 1.63
O: 0.9342 0.5723 0.3362  1 B 1.46, 1 Si 1.62
Si: 0.5656 0.0724 0.8105  4 O 1.62-1.64
Si: 0.9344 0.0724 0.8105  4 O 1.62-1.64
O: 0.9697 0.1455 0.6461  1 B 1.50, 1 Si 1.63
O: 0.0443 0.7821 0.0692  1 B 1.48, 1 Si 1.63
O: 0.4557 0.7821 0.0692  1 B 1.48, 1 Si 1.63
O: 0.7500 0.2905 0.1179  2 B 1.46
O: 0.0658 0.9277 0.8362  1 B 1.46, 1 Si 1.62
O: 0.5303 0.1455 0.6461  1 B 1.50, 1 Si 1.63
B: 0.5860 0.7288 0.4112  4 O 1.46-1.50
O: 0.4697 0.8545 0.3539  1 B 1.50, 1 Si 1.63
Si: 0.4344 0.4276 0.3105  4 O 1.62-1.64
O: 0.7500 0.9966 0.8123  2 Si 1.64
O: 0.5443 0.2179 0.9308  1 B 1.48, 1 Si 1.63
O: 0.7500 0.4966 0.6877  2 Si 1.64
O: 0.0658 0.4277 0.6638  1 B 1.46, 1 Si 1.62
O: 0.4697 0.3545 0.1461  1 B 1.50, 1 Si 1.63
B: 0.9140 0.7288 0.4112  4 O 1.46-1.50
O: 0.0303 0.3545 0.1461  1 B 1.50, 1 Si 1.63

Entry 2:
Material: Ba3YB3O9
Method: DFT, GGA-PBEsol
State: optimized geometry

## Properties
Crystal system ... hexagonal
SG ... P6_3cm

a = 9.4135 Å, b = 9.4135 Å, c = 17.5392 Å
α = 90.00°, β = 90.00°, γ = 120.00°
With the nearest neighbours (Å) after each atom.
Fractional coordinates of all 96 atoms:
O: 0.8201 0.8201 0.9137  1 B 1.38
O: 0.4726 0.1468 0.9287  1 B 1.38
B: 0.0000 0.6594 0.0801  3 O 1.39
O: 0.1468 0.4726 0.9287  1 B 1.38
O: 0.4726 0.3257 0.4287  1 B 1.38
Ba: 0.6667 0.3333 0.2231  9 O 2.77-2.97
O: 0.1476 0.6605 0.0853  1 B 1.39
Ba: 0.3333 0.6667 0.7231  9 O 2.77-2.97
Y: 0.0000 0.0000 0.9969  6 O 2.23-2.24
O: 0.8150 0.1478 0.2498  1 B 1.39
B: 0.6741 0.6741 0.9235  3 O 1.38
B: 0.6672 0.0000 0.2502  3 O 1.39
O: 0.1799 0.1799 0.4137  1 B 1.38
O: 0.8522 0.1850 0.7498  1 B 1.39
O: 0.3257 0.8532 0.9287  1 B 1.38
O: 0.8201 0.0000 0.4137  1 B 1.38
B: 0.0000 0.6672 0.2502  3 O 1.39
O: 0.6605 0.5129 0.5853  1 B 1.39
B: 0.3328 0.0000 0.7502  3 O 1.39
Ba: 0.3198 0.0000 0.1298  9 O 2.69-2.89
O: 0.8524 0.5129 0.0853  1 B 1.39
B: 0.0000 0.3406 0.5801  3 O 1.39
O: 0.5274 0.6743 0.9287  1 B 1.38
O: 0.0000 0.8201 0.4137  1 B 1.38
B: 0.6741 0.0000 0.4235  3 O 1.38
Ba: 0.6802 0.0000 0.6298  9 O 2.69-2.89
O: 0.4871 0.3395 0.0853  1 B 1.39
Ba: 0.0000 0.3198 0.1298  9 O 2.69-2.89
Ba: 0.0000 0.6538 0.8691  9 O 2.64-2.93
O: 0.3395 0.4871 0.0853  1 B 1.39
O: 0.8532 0.5274 0.4287  1 B 1.38
O: 0.5194 0.5194 0.7504  1 B 1.39
O: 0.1468 0.6743 0.4287  1 B 1.38
O: 0.0000 0.5194 0.2504  1 B 1.39
O: 0.4806 0.0000 0.7504  1 B 1.39
O: 0.6743 0.1468 0.4287  1 B 1.38
O: 0.4806 0.4806 0.2504  1 B 1.39
O: 0.1478 0.3329 0.7498  1 B 1.39
Ba: 0.3333 0.6667 0.2231  9 O 2.77-2.97
Y: 0.6667 0.3333 0.5021  6 O 2.21-2.26
O: 0.1478 0.8150 0.2498  1 B 1.39
O: 0.8150 0.6671 0.7498  1 B 1.39
O: 0.0000 0.4806 0.7504  1 B 1.39
B: 0.0000 0.6741 0.4235  3 O 1.38
O: 0.8524 0.3395 0.5853  1 B 1.39
O: 0.1850 0.8522 0.7498  1 B 1.39
O: 0.5274 0.8532 0.4287  1 B 1.38
O: 0.5194 0.0000 0.2504  1 B 1.39
Ba: 0.0000 0.6802 0.6298  9 O 2.69-2.89
Ba: 0.3462 0.3462 0.8691  9 O 2.64-2.93
Ba: 0.6667 0.3333 0.7231  9 O 2.77-2.97
O: 0.6671 0.8150 0.7498  1 B 1.39
O: 0.8532 0.3257 0.9287  1 B 1.38
O: 0.3257 0.4726 0.4287  1 B 1.38
O: 0.1476 0.4871 0.5853  1 B 1.39
B: 0.0000 0.3328 0.7502  3 O 1.39
O: 0.0000 0.1799 0.9137  1 B 1.38
Y: 0.6667 0.3333 0.0021  6 O 2.21-2.26
Ba: 0.6538 0.0000 0.8691  9 O 2.64-2.93
O: 0.1943 0.0000 0.5695  1 B 1.39
Ba: 0.3462 0.0000 0.3691  9 O 2.64-2.93
O: 0.0000 0.8057 0.0695  1 B 1.39
O: 0.3395 0.8524 0.5853  1 B 1.39
Y: 0.3333 0.6667 0.0021  6 O 2.21-2.26
B: 0.3259 0.0000 0.9235  3 O 1.38
Y: 0.3333 0.6667 0.5021  6 O 2.21-2.26
Y: 0.0000 0.0000 0.4969  6 O 2.23-2.24
B: 0.3328 0.3328 0.2502  3 O 1.39
O: 0.6743 0.5274 0.9287  1 B 1.38
O: 0.8057 0.0000 0.0695  1 B 1.39
B: 0.0000 0.3259 0.9235  3 O 1.38
O: 0.4871 0.1476 0.5853  1 B 1.39
B: 0.6672 0.6672 0.7502  3 O 1.39
O: 0.1850 0.3329 0.2498  1 B 1.39
O: 0.1799 0.0000 0.9137  1 B 1.38
Ba: 0.0000 0.3462 0.3691  9 O 2.64-2.93
B: 0.3406 0.0000 0.5801  3 O 1.39
O: 0.3329 0.1850 0.2498  1 B 1.39
Ba: 0.0000 0.0000 0.2809  9 O 2.77-2.88
Ba: 0.6538 0.6538 0.3691  9 O 2.64-2.93
O: 0.3329 0.1478 0.7498  1 B 1.39
O: 0.5129 0.8524 0.0853  1 B 1.39
B: 0.3259 0.3259 0.4235  3 O 1.38
O: 0.8057 0.8057 0.5695  1 B 1.39
O: 0.6671 0.8522 0.2498  1 B 1.39
O: 0.0000 0.1943 0.5695  1 B 1.39
O: 0.8522 0.6671 0.2498  1 B 1.39
O: 0.1943 0.1943 0.0695  1 B 1.39
B: 0.6594 0.0000 0.0801  3 O 1.39
B: 0.3406 0.3406 0.0801  3 O 1.39
Ba: 0.0000 0.0000 0.7809  9 O 2.77-2.88
O: 0.5129 0.6605 0.5853  1 B 1.39
Ba: 0.6802 0.6802 0.1298  9 O 2.69-2.89
O: 0.6605 0.1476 0.0853  1 B 1.39
Ba: 0.3198 0.3198 0.6298  9 O 2.69-2.89
B: 0.6594 0.6594 0.5801  3 O 1.39

Entry 3:
Material: BaZrB2O6
Method: DFT, GGA-PBEsol
State: optimized geometry

## Properties
Crystal system ... trigonal
SG ... R-3c

a = 5.1708 Å, b = 5.1708 Å, c = 11.6632 Å
α = 77.19°, β = 77.19°, γ = 60.00°
With the nearest neighbours (Å) after each atom.
Fractional coordinates of all 20 atoms:
O: 0.6605 0.7796 0.3902  1 B 1.38
B: 0.8691 0.8691 0.3926  3 O 1.38
O: 0.7796 0.1697 0.3902  1 B 1.38
O: 0.8395 0.3303 0.1098  1 B 1.38
O: 0.8303 0.3395 0.6098  1 B 1.38
Zr: 0.5000 0.5000 0.5000  6 O 2.08
B: 0.6309 0.6309 0.1074  3 O 1.38
Zr: 0.0000 0.0000 0.0000  6 O 2.08
O: 0.1697 0.6605 0.3902  1 B 1.38
O: 0.1605 0.6697 0.8902  1 B 1.38
O: 0.3395 0.2204 0.6098  1 B 1.38
O: 0.7204 0.8395 0.1098  1 B 1.38
B: 0.3691 0.3691 0.8926  3 O 1.38
B: 0.1309 0.1309 0.6074  3 O 1.38
Ba: 0.7500 0.7500 0.7500  6 O 2.78
Ba: 0.2500 0.2500 0.2500  6 O 2.78
O: 0.3303 0.7204 0.1098  1 B 1.38
O: 0.6697 0.2796 0.8902  1 B 1.38
O: 0.2204 0.8303 0.6098  1 B 1.38
O: 0.2796 0.1605 0.8902  1 B 1.38

Entry 4:
Material: BaBP3
Method: DFT, GGA-PBEsol
State: optimized geometry

## Properties
Crystal system ... cubic
SG ... Pm-3m
Energy of formation from the pure elements ... 0.286 eV per atom

a = 4.4711 Å, b = 4.4711 Å, c = 4.4711 Å
α = 90.00°, β = 90.00°, γ = 90.00°
With the nearest neighbours (Å) after each atom.
Fractional coordinates of all 5 atoms:
P: 0.0000 0.0000 0.5000  2 B 2.24
Ba: 0.5000 0.5000 0.5000  12 P 3.16
B: 0.0000 0.0000 0.0000  6 P 2.24
P: 0.0000 0.5000 0.0000  2 B 2.24
P: 0.5000 0.0000 0.0000  2 B 2.24

Entry 5:
Material: BaBPb2
Method: DFT, GGA-PBEsol
State: optimized geometry

## Properties
Crystal system ... cubic
SG ... Fm-3m
Energy of formation from the pure elements ... 0.799 eV per atom

a = 5.3838 Å, b = 5.3838 Å, c = 5.3838 Å
α = 60.00°, β = 60.00°, γ = 60.00°
With the nearest neighbours (Å) after each atom.
Fractional coordinates of all 4 atoms:
Ba: 0.5000 0.5000 0.5000  8 Pb 3.30
Pb: 0.2500 0.2500 0.2500  4 B 3.30, 4 Ba 3.30
B: 0.0000 0.0000 0.0000  8 Pb 3.30
Pb: 0.7500 0.7500 0.7500  4 B 3.30, 4 Ba 3.30

Entry 6:
Material: BaB2Pb
Method: DFT, GGA-PBEsol
State: optimized geometry

## Properties
Crystal system ... tetragonal
SG ... I4_1/amd
Energy of formation from the pure elements ... 0.964 eV per atom

a = 4.7571 Å, b = 4.7571 Å, c = 8.8079 Å
α = 105.67°, β = 105.67°, γ = 90.00°
With the nearest neighbours (Å) after each atom.
Fractional coordinates of all 8 atoms:
Pb: 0.0000 0.0000 0.0000  4 B 2.36
B: 0.1250 0.8750 0.7500  2 Pb 2.36, 2 B 2.38
B: 0.6250 0.8750 0.7500  2 Pb 2.36, 2 B 2.38
Ba: 0.5000 0.5000 0.0000  8 B 3.35, 4 Pb 3.36
B: 0.1250 0.3750 0.2500  2 Pb 2.36, 2 B 2.38
B: 0.1250 0.8750 0.2500  2 Pb 2.36, 2 B 2.38
Pb: 0.2500 0.7500 0.5000  4 B 2.36
Ba: 0.7500 0.2500 0.5000  8 B 3.35, 4 Pb 3.36

Entry 7:
Material: BaB3Pb
Method: DFT, GGA-PBEsol
State: optimized geometry

## Properties
Crystal system ... cubic
SG ... Pm-3m
Energy of formation from the pure elements ... 1.754 eV per atom

a = 4.7475 Å, b = 4.7475 Å, c = 4.7475 Å
α = 90.00°, β = 90.00°, γ = 90.00°
With the nearest neighbours (Å) after each atom.
Fractional coordinates of all 5 atoms:
Ba: 0.5000 0.5000 0.5000  12 B 3.36
B: 0.0000 0.5000 0.0000  2 Pb 2.37
Pb: 0.0000 0.0000 0.0000  6 B 2.37
B: 0.0000 0.0000 0.5000  2 Pb 2.37
B: 0.5000 0.0000 0.0000  2 Pb 2.37

Entry 8:
Material: BaB4Pt6
Method: DFT, GGA-PBEsol
State: optimized geometry

## Properties
Crystal system ... trigonal
SG ... P-3m1
Energy of formation from the pure elements ... -0.438 eV per atom

a = 5.2499 Å, b = 6.1734 Å, c = 6.1734 Å
α = 120.00°, β = 90.00°, γ = 90.00°
With the nearest neighbours (Å) after each atom.
Fractional coordinates of all 11 atoms:
Pt: 0.2485 0.4821 0.5179  4 B 2.18-2.33
Pt: 0.7515 0.5179 0.0358  4 B 2.18-2.33
Ba: 0.5000 0.0000 0.0000  12 Pt 3.36, 6 B 3.58
B: 0.5724 0.3333 0.6667  1 B 1.87
B: 0.0707 0.6667 0.3333  1 B 1.87
B: 0.9293 0.3333 0.6667  1 B 1.87
Pt: 0.2485 0.4821 0.9642  4 B 2.18-2.33
Pt: 0.7515 0.5179 0.4821  4 B 2.18-2.33
B: 0.4276 0.6667 0.3333  1 B 1.87
Pt: 0.2485 0.0358 0.5179  4 B 2.18-2.33
Pt: 0.7515 0.9642 0.4821  4 B 2.18-2.33

Entry 9:
Material: Ba2B2Pt
Method: DFT, GGA-PBEsol
State: optimized geometry

## Properties
Crystal system ... tetragonal
SG ... I4/mmm
Energy of formation from the pure elements ... -0.015 eV per atom

a = 5.1813 Å, b = 5.1813 Å, c = 5.1813 Å
α = 106.84°, β = 110.80°, γ = 110.80°
With the nearest neighbours (Å) after each atom.
Fractional coordinates of all 5 atoms:
Ba: 0.5000 0.7500 0.2500  4 B 3.04, 2 Ba 3.09, 4 Pt 3.32
Ba: 0.5000 0.2500 0.7500  4 B 3.04, 2 Ba 3.09, 4 Pt 3.32
B: 0.0000 0.3711 0.3711  1 B 1.59
Pt: 0.0000 0.0000 0.0000  2 B 2.29
B: 0.0000 0.6289 0.6289  1 B 1.59

Entry 10:
Material: BaReB2Pt
Method: DFT, GGA-PBEsol
State: optimized geometry

## Properties
Crystal system ... tetragonal
SG ... P4/mmm
Energy of formation from the pure elements ... 3.408 eV per atom

a = 4.5103 Å, b = 4.5103 Å, c = 5.3187 Å
α = 90.00°, β = 90.00°, γ = 90.00°
With the nearest neighbours (Å) after each atom.
Fractional coordinates of all 5 atoms:
Re: 0.5000 0.5000 0.5000  4 Pt 3.19, 8 B 3.49
Pt: 0.0000 0.0000 0.5000  2 Ba 2.66
B: 0.5000 0.0000 0.0000  2 Ba 2.26
Ba: 0.0000 0.0000 0.0000  4 B 2.26
B: 0.0000 0.5000 0.0000  2 Ba 2.26

Entry 11:
Material: RbBa2BW
Method: DFT, GGA-PBEsol
State: optimized geometry

## Properties
Crystal system ... tetragonal
SG ... P4/mmm
Energy of formation from the pure elements ... 2.378 eV per atom

a = 4.5646 Å, b = 6.1605 Å, c = 6.1605 Å
α = 90.00°, β = 90.00°, γ = 90.00°
With the nearest neighbours (Å) after each atom.
Fractional coordinates of all 5 atoms:
W: 0.5000 0.5000 0.5000  8 Ba 3.83
Rb: 0.0000 0.0000 0.0000  2 B 2.28
Ba: 0.0000 0.5000 0.0000  2 Rb 3.08
B: 0.5000 0.0000 0.0000  2 Rb 2.28
Ba: 0.0000 0.0000 0.5000  2 Rb 3.08

Entry 12:
Material: RbBaYB2
Method: DFT, GGA-PBEsol
State: optimized geometry

## Properties
Crystal system ... tetragonal
SG ... P4/mmm
Energy of formation from the pure elements ... 2.171 eV per atom

a = 5.0887 Å, b = 5.0887 Å, c = 5.5216 Å
α = 90.00°, β = 90.00°, γ = 90.00°
With the nearest neighbours (Å) after each atom.
Fractional coordinates of all 5 atoms:
Rb: 0.0000 0.0000 0.0000  4 B 2.54, 2 Ba 2.76
Ba: 0.0000 0.0000 0.5000  2 Rb 2.76
Y: 0.5000 0.5000 0.5000  4 Ba 3.60, 8 B 3.75
B: 0.0000 0.5000 0.0000  2 Rb 2.54
B: 0.5000 0.0000 0.0000  2 Rb 2.54

Number 1: DFT total energy -8.172 eV/atom. Number 2: DFT total energy -8.033 eV/atom. Number 3: DFT total energy -8.629 eV/atom. Number 4: DFT total energy -5.022 eV/atom. Number 5: DFT total energy -3.492 eV/atom. Number 6: DFT total energy -4.081 eV/atom. Number 7: DFT total energy -3.685 eV/atom. Number 8: DFT total energy -6.983 eV/atom. Number 9: DFT total energy -5.074 eV/atom. Number 10: DFT total energy -3.888 eV/atom. Number 11: DFT total energy -2.851 eV/atom. Number 12: DFT total energy -2.635 eV/atom.